Record 1
# VInFe3 PBE optimized geometry
data_VInFe3
_chemical_formula_sum 'V1 In1 Fe3'
_symmetry_space_group_name_H-M 'P m -3 m'
_symmetry_Int_Tables_number 221
_symmetry_space_group_name_Hall '-P 4 2 3'
_cell_length_a 4.720
_cell_length_b 4.720
_cell_length_c 4.720
_cell_angle_alpha 90.00
_cell_angle_beta 90.00
_cell_angle_gamma 90.00
loop_
_atom_site_label
_atom_site_fract_x
_atom_site_fract_y
_atom_site_fract_z
V1 0.000 0.000 0.000
In1 0.500 0.500 0.500
Fe1 0.000 0.500 0.500
# Spin magnetization, μB/cell: 11.1
# Energy, eV/atom: -5.58
# Crystal system: cubic
# ΔE_f, eV/atom: 1.865
# Calculated density, g cm⁻³: 5.3

---

Record 2
# In2FeW PBE optimized geometry
data_In2FeW
_chemical_formula_sum 'In4 Fe2 W2'
_symmetry_space_group_name_H-M 'C m m m'
_symmetry_Int_Tables_number 65
_symmetry_space_group_name_Hall '-C 2 2'
_cell_length_a 5.833
_cell_length_b 8.459
_cell_length_c 2.885
_cell_angle_alpha 90.00
_cell_angle_beta 90.00
_cell_angle_gamma 90.00
loop_
_atom_site_label
_atom_site_fract_x
_atom_site_fract_y
_atom_site_fract_z
In1 0.250 0.250 0.000
Fe1 0.000 0.000 0.500
W1 0.000 0.500 0.500
# Spin magnetization, μB/cell: 5.6
# Energy, eV/atom: -6.17
# Crystal system: orthorhombic
# ΔE_f, eV/atom: 0.550
# Calculated density, g cm⁻³: 10.9

---

Record 3
# InFeW2 PBE optimized geometry
data_InFeW2
_chemical_formula_sum 'In2 Fe2 W4'
_symmetry_space_group_name_H-M 'I m m 2'
_symmetry_Int_Tables_number 44
_cell_length_a 3.323
_cell_length_b 4.534
_cell_length_c 8.580
_cell_angle_alpha 90.00
_cell_angle_beta 90.00
_cell_angle_gamma 90.00
loop_
_symmetry_equiv_pos_as_xyz
'x,y,z'
'-x,-y,z'
'-x,y,z'
'x,-y,z'
'x+1/2,y+1/2,z+1/2'
'-x+1/2,-y+1/2,z+1/2'
'-x+1/2,y+1/2,z+1/2'
'x+1/2,-y+1/2,z+1/2'
loop_
_atom_site_label
_atom_site_fract_x
_atom_site_fract_y
_atom_site_fract_z
In1 0.000 0.000 0.000
Fe1 0.000 0.500 0.251
W1 0.000 0.000 0.516
W2 0.000 0.500 0.775
# Spin magnetization, μB/cell: 4.6
# Energy, eV/atom: -8.83
# Crystal system: orthorhombic
# ΔE_f, eV/atom: 0.452
# Calculated density, g cm⁻³: 13.8

---

Record 4
# In2FeW PBE optimized geometry
data_In2FeW
_chemical_formula_sum 'In4 Fe2 W2'
_symmetry_space_group_name_H-M 'C 1 m 1'
_symmetry_Int_Tables_number 8
_cell_length_a 10.692
_cell_length_b 2.990
_cell_length_c 4.916
_cell_angle_alpha 90.00
_cell_angle_beta 111.77
_cell_angle_gamma 90.00
loop_
_symmetry_equiv_pos_as_xyz
'x,y,z'
'x,-y,z'
'x+1/2,y+1/2,z'
'x+1/2,-y+1/2,z'
loop_
_atom_site_label
_atom_site_fract_x
_atom_site_fract_y
_atom_site_fract_z
In1 0.000 0.000 0.000
In2 0.214 0.000 0.638
Fe1 0.452 0.000 0.471
W1 0.264 0.500 0.174
# Spin magnetization, μB/cell: 4.7
# Energy, eV/atom: -6.25
# Crystal system: monoclinic
# ΔE_f, eV/atom: 0.474
# Calculated density, g cm⁻³: 10.7

---

Record 5
# InFeW2 PBE optimized geometry
data_InFeW2
_chemical_formula_sum 'In1 Fe1 W2'
_symmetry_space_group_name_H-M 'P 4/m m m'
_symmetry_Int_Tables_number 123
_symmetry_space_group_name_Hall '-P 4 2'
_cell_length_a 3.273
_cell_length_b 3.273
_cell_length_c 6.179
_cell_angle_alpha 90.00
_cell_angle_beta 90.00
_cell_angle_gamma 90.00
loop_
_atom_site_label
_atom_site_fract_x
_atom_site_fract_y
_atom_site_fract_z
In1 0.000 0.000 0.000
Fe1 0.000 0.000 0.500
W1 0.500 0.500 0.300
# Spin magnetization, μB/cell: 2.1
# Energy, eV/atom: -8.80
# Crystal system: tetragonal
# ΔE_f, eV/atom: 0.481
# Calculated density, g cm⁻³: 13.5

---

Record 6
# In2FeW PBE optimized geometry
data_In2FeW
_chemical_formula_sum 'In6 Fe3 W3'
_symmetry_space_group_name_H-M 'R 3 m'
_symmetry_Int_Tables_number 160
_symmetry_space_group_name_Hall 'R 3 -2"'
_cell_length_a 3.0551
_cell_length_b 3.0551
_cell_length_c 27.4332
_cell_angle_alpha 90.00
_cell_angle_beta 90.00
_cell_angle_gamma 120.00
loop_
_atom_site_label
_atom_site_fract_x
_atom_site_fract_y
_atom_site_fract_z
In1 0.0000 0.0000 0.0000
In2 0.0000 0.0000 0.2341
Fe1 0.0000 0.0000 0.7478
W1 0.0000 0.0000 0.4780
# Spin magnetization, μB/cell: 4.0
# Energy, eV/atom: -6.30
# Crystal system: trigonal
# ΔE_f, eV/atom: 0.427
# Calculated density, g cm⁻³: 10.5